No. 1
The following is a DFT calculation (GGA-PBE) of crystalline Cr2SbPd at its relaxed geometry.

Computed properties:
The uncorrected formation energy is 1.909 eV per formula unit. Its space group is No. 122. Its total moment is 14.1 Bohr magnetons per cell.

Cell: 5.775 5.775 5.775 Å, 104.61 104.61 119.71°
Sites, in units of the cell vectors:
Cr 0.115 0.625 0.990
Cr 0.375 0.365 0.490
Cr 0.635 0.125 0.010
Cr 0.875 0.885 0.510
Sb 0.250 0.750 0.500
Sb 0.500 0.500 0.000
Pd 0.000 0.000 0.000
Pd 0.750 0.250 0.500



No. 2
The following is a DFT calculation (GGA-PBE) of crystalline CrSiSbPd2 at its relaxed geometry.

Computed properties:
The uncorrected formation energy is 7.099 eV per formula unit. Its space group is No. 123. Its total moment is 0.5 Bohr magnetons per cell.

Cell: 4.908 4.908 5.050 Å, 90.00 90.00 90.00°
Sites, in units of the cell vectors:
Cr 0.000 0.000 0.000
Si 0.500 0.500 0.000
Sb 0.500 0.500 0.500
Pd 0.000 0.500 0.500
Pd 0.500 0.000 0.500